A geometry-optimized CaMn4 structure. Source: Alexandria, functional PBE.

Properties
crystal system = tetragonal
energy = -7.438 eV/atom
ΔE to the lowest computed polymorph = 0.00 kJ/mol of atoms
energy of formation from the pure elements = 0.2984 eV per atom

abc: 5.4695 5.4695 5.4695
angles: 136.65 136.65 62.97
Element x y z (fractional)
Mn 0.2500 0.7500 0.5000
Mn 0.7500 0.2500 0.5000
Mn 0.3727 0.3727 0.0000
Mn 0.6273 0.6273 0.0000
Ca 0.0000 0.0000 0.0000

A geometry-optimized VGaCo2H structure. Source: Alexandria, functional PBE.

Properties
crystal system = tetragonal
energy = -6.071 eV/atom

abc: 3.6843 3.6843 3.6988
angles: 90.00 90.00 90.00
Element x y z (fractional)
V 0.0000 0.0000 0.5000
Co 0.0000 0.5000 0.0000
Co 0.5000 0.0000 0.0000
H 0.0000 0.0000 0.0000
Ga 0.5000 0.5000 0.5000

A geometry-optimized TiCdGa3 structure. Source: Alexandria, functional PBE.

Properties
crystal system = cubic
energy = -2.676 eV/atom
energy of formation from the pure elements = 0.9016 eV per atom

abc: 4.9976 4.9976 4.9976
angles: 90.00 90.00 90.00
Element x y z (fractional)
Ga 0.0000 0.5000 0.0000
Ga 0.0000 0.0000 0.5000
Ga 0.5000 0.0000 0.0000
Ti 0.5000 0.5000 0.5000
Cd 0.0000 0.0000 0.0000